The following is a DFT calculation (PBE) of a relaxed structure of HfAl2Fe.

abc: 2.9652 2.9652 6.9079
angles: 90.00 90.00 90.00
With the nearest neighbours (Å) after each atom.
Space group P4/mmm (No. 123)
Symmetry-distinct sites (fractional):
Hf1 0.0000 0.0000 0.0000 x1  4 Hf 2.97, 8 Al 2.98
Al1 0.5000 0.5000 0.3058 x2  4 Fe 2.49, 1 Al 2.68
Fe1 0.0000 0.0000 0.5000 x1  8 Al 2.49

Properties
Its crystal system is tetragonal. The calculated formation energy is -0.328 eV/atom. As for the volume: 60.74 Å³/f.u. The total DFT energy (no corrections) comes out at -6.803 eV per atom.

***

The following is a DFT calculation (PBE) of a relaxed structure of HfAl2Fe2.

abc: 3.6730 3.6730 11.3850
angles: 90.00 90.00 90.00
With the nearest neighbours (Å) after each atom.
Space group I4/mmm (No. 139)
Symmetry-distinct sites (fractional):
Hf1 0.0000 0.0000 0.0000 x2  8 Al 2.88
Al1 0.0000 0.0000 0.3906 x4  4 Fe 2.44, 1 Al 2.49
Fe1 0.0000 0.5000 0.2500 x4  4 Al 2.44, 4 Fe 2.60

Properties
Its crystal system is tetragonal. The calculated formation energy is -0.145 eV/atom. The relative energy among the computed polymorphs is 102.7 meV/atom. As for the volume: 76.80 Å³/f.u. The total DFT energy (no corrections) comes out at -7.018 eV per atom.

***

The following is a DFT calculation (PBE) of a relaxed structure of HfAl2Fe.

abc: 3.7402 3.7402 19.2919
angles: 90.00 90.00 90.00
With the nearest neighbours (Å) after each atom.
Space group I-42d (No. 122)
Symmetry-distinct sites (fractional):
Hf1 0.0000 0.0000 0.0000 x4  4 Fe 2.64, 4 Al 2.77
Al1 0.2385 0.2500 0.6250 x8  4 Al 2.58-2.71, 2 Fe 2.74, 2 Hf 2.77
Fe1 0.0000 0.0000 0.5000 x4  4 Hf 2.64, 4 Al 2.74

Properties
Its crystal system is tetragonal. The calculated formation energy is 0.178 eV/atom. As for the volume: 67.47 Å³/f.u. The total DFT energy (no corrections) comes out at -6.297 eV per atom.

***

The following is a DFT calculation (PBE) of a relaxed structure of HfAl2Fe2.

abc: 7.2179 7.2179 2.7267
angles: 90.00 90.00 90.00
With the nearest neighbours (Å) after each atom.
Space group P4/mbm (No. 127)
Symmetry-distinct sites (fractional):
Hf1 0.0000 0.0000 0.0000 x2  2 Hf 2.73, 4 Al 2.85, 8 Fe 3.01
Al1 0.1264 0.3736 0.0000 x4  6 Fe 2.49-2.56, 3 Al 2.58-2.73
Fe1 0.1699 0.6699 0.5000 x4  6 Al 2.49-2.56, 2 Fe 2.73

Properties
Its crystal system is tetragonal. The calculated formation energy is -0.208 eV/atom. The relative energy among the computed polymorphs is 39.3 meV/atom. As for the volume: 71.03 Å³/f.u. The total DFT energy (no corrections) comes out at -7.081 eV per atom.

***

Number 1: ρ 7.882 Mg/m³. Number 2: ρ 7.441 Mg/m³. Number 3: ρ 7.095 Mg/m³. Number 4: ρ 8.046 Mg/m³.